No. 1
NaSb2TeI (GGA-PBE, relaxed); ρ = 4.5 g cm⁻³; total moment = 0.00 μB/cell; space group = P4/mmm, No. 123; ΔE to the lowest computed polymorph = 18.87 kJ per mole of atoms; volume = 192.0 Å³ per cell; energy relative to the elements, uncorrected = 0.52 eV per atom
1.0
5.879 0.000 0.000
0.000 5.879 0.000
0.000 0.000 5.555
Na Sb Te I
1 2 1 1
Direct
0.000 0.000 0.000 Na
0.000 0.500 0.500 Sb
0.500 0.000 0.500 Sb
0.500 0.500 0.000 Te
0.000 0.000 0.500 I

No. 2
PRu (GGA-PBE, relaxed); ρ = 7.3 g cm⁻³; total moment = 0.00 μB/cell; space group = Imm2, No. 44; ΔE to the lowest computed polymorph = 26.30 kJ per mole of atoms; volume = 30.1 Å³ per cell
1.0
-1.424 1.820 2.906
1.424 -1.820 2.906
1.424 1.820 -2.906
P Ru
1 1
Direct
0.000 0.000 0.000 P
0.610 0.610 0.000 Ru

Q: The lowest ρ belongs to which entry?
A: NaSb2TeI

Q: What is the volume in the first record?
A: 192.0 Å³ per cell

Q: What is the formula in the first record?
A: NaSb2TeI

Q: Look up the ΔE to the lowest computed polymorph of the first one.
A: 18.87 kJ per mole of atoms